Compound: NdSiPO
Source: the Open Quantum Materials Database
Functional: GGA-PBE
Structure: relaxed

Output
Uncorrected energy ... -97.02 eV for the cell shown
Crystal system ... monoclinic
ρ ... 4.62 Mg/m³

CIF file:
```
data_NdSiPO
_cell_length_a 8.226
_cell_length_b 8.220
_cell_length_c 4.662
_cell_angle_alpha 90.00
_cell_angle_beta 90.11
_cell_angle_gamma 90.00
_symmetry_space_group_name_H-M 'C 1 2/m 1'
_symmetry_Int_Tables_number 12
_symmetry_space_group_name_Hall '-C 2y'
loop_
_atom_site_label
_atom_site_type_symbol
_atom_site_fract_x
_atom_site_fract_y
_atom_site_fract_z
_atom_site_occupancy
Nd1 Nd 0.000 0.250 0.000 1
Si1 Si 0.250 0.000 0.498 1
P1 P 0.250 0.000 0.997 1
O1 O 0.000 0.250 0.500 1
```

=====

Compound: BeMoPb2
Source: the Open Quantum Materials Database
Functional: GGA-PBE
Structure: relaxed

Output
Uncorrected energy ... -69.62 eV for the cell shown
Crystal system ... cubic
ρ ... 9.76 Mg/m³

CIF file:
```
data_BeMoPb2
_cell_length_a 7.069
_cell_length_b 7.069
_cell_length_c 7.069
_cell_angle_alpha 90.00
_cell_angle_beta 90.00
_cell_angle_gamma 90.00
_symmetry_space_group_name_H-M 'F -4 3 m'
_symmetry_Int_Tables_number 216
_symmetry_space_group_name_Hall 'F -4 2 3'
loop_
_atom_site_label
_atom_site_type_symbol
_atom_site_fract_x
_atom_site_fract_y
_atom_site_fract_z
_atom_site_occupancy
Be1 Be 0.000 0.000 0.000 1
Mo1 Mo 0.250 0.250 0.250 1
Pb1 Pb 0.000 0.000 0.500 1
Pb2 Pb 0.250 0.250 0.750 1
```

=====

Question: Among the records above, which one has the highest ρ?
Answer: BeMoPb2

=====

Question: Among the records above, which one has the lowest uncorrected energy?
Answer: NdSiPO

=====

What did the second record say?
Compound: BeMoPb2
Source: the Open Quantum Materials Database
Functional: GGA-PBE
Structure: relaxed

Output
Uncorrected energy ... -69.62 eV for the cell shown
Crystal system ... cubic
ρ ... 9.76 Mg/m³

CIF file:
```
data_BeMoPb2
_cell_length_a 7.069
_cell_length_b 7.069
_cell_length_c 7.069
_cell_angle_alpha 90.00
_cell_angle_beta 90.00
_cell_angle_gamma 90.00
_symmetry_space_group_name_H-M 'F -4 3 m'
_symmetry_Int_Tables_number 216
_symmetry_space_group_name_Hall 'F -4 2 3'
loop_
_atom_site_label
_atom_site_type_symbol
_atom_site_fract_x
_atom_site_fract_y
_atom_site_fract_z
_atom_site_occupancy
Be1 Be 0.000 0.000 0.000 1
Mo1 Mo 0.250 0.250 0.250 1
Pb1 Pb 0.000 0.000 0.500 1
Pb2 Pb 0.250 0.250 0.750 1
```

=====

Repeat the second record exactly.
Compound: BeMoPb2
Source: the Open Quantum Materials Database
Functional: GGA-PBE
Structure: relaxed

Output
Uncorrected energy ... -69.62 eV for the cell shown
Crystal system ... cubic
ρ ... 9.76 Mg/m³

CIF file:
```
data_BeMoPb2
_cell_length_a 7.069
_cell_length_b 7.069
_cell_length_c 7.069
_cell_angle_alpha 90.00
_cell_angle_beta 90.00
_cell_angle_gamma 90.00
_symmetry_space_group_name_H-M 'F -4 3 m'
_symmetry_Int_Tables_number 216
_symmetry_space_group_name_Hall 'F -4 2 3'
loop_
_atom_site_label
_atom_site_type_symbol
_atom_site_fract_x
_atom_site_fract_y
_atom_site_fract_z
_atom_site_occupancy
Be1 Be 0.000 0.000 0.000 1
Mo1 Mo 0.250 0.250 0.250 1
Pb1 Pb 0.000 0.000 0.500 1
Pb2 Pb 0.250 0.250 0.750 1
```